The following is a DFT calculation (PBE) of a relaxed structure of Ce2DyZn. Values from VASP.

Results
Its formation energy is -0.014 eV per atom. As for the symmetry: P4/mmm. As for the density of states at the Fermi level: 9.9 states/eV/cell. As for the distance to the lowest polymorph of the same formula: 0 meV/atom.

The structure in Quantum ESPRESSO input format:
```
&SYSTEM
  ibrav = 0, nat = 4, ntyp = 3
/
ATOMIC_SPECIES
Ce 140.12 Ce.upf
Dy 162.50 Dy.upf
Zn 65.41 Zn.upf
ATOMIC_POSITIONS angstrom
Ce -1.244 -1.504 -1.046
Dy -3.820 -0.817 1.031
Zn -2.007 1.572 0.128
Ce -0.568 -0.885 1.949
CELL_PARAMETERS angstrom
-4.014 3.143 0.256
-2.489 -3.008 -2.091
-1.137 -1.769 3.898
```

The following is a DFT calculation (PBE) of a relaxed structure of PmY6Tm2Th3. Values from VASP.

Results
Its formation energy is 0.027 eV per atom. As for the symmetry: C2/m. As for the density of states at the Fermi level: 18.6 states/eV/cell.

The structure in Quantum ESPRESSO input format:
```
&SYSTEM
  ibrav = 0, nat = 12, ntyp = 4
/
ATOMIC_SPECIES
Tm 168.93 Tm.upf
Y 88.91 Y.upf
Th 232.04 Th.upf
Pm 145.00 Pm.upf
ATOMIC_POSITIONS angstrom
Tm -0.001 3.576 0.003
Y -1.035 1.787 2.939
Th 1.028 1.781 5.794
Y 2.061 3.568 2.941
Y -0.009 3.565 8.649
Y 3.092 1.774 8.649
Y 2.066 -0.004 2.939
Th -2.071 3.571 5.794
Y -0.004 -0.007 8.647
Pm 0.000 0.000 0.000
Th 4.128 -0.009 5.794
Tm 3.098 1.787 0.003
CELL_PARAMETERS angstrom
6.193 -0.001 0.003
-3.095 5.364 0.003
-1.040 -1.801 11.582
```

The following is a DFT calculation (PBE) of a relaxed structure of Pr3GeBr7. Values from VASP.

Results
As for the symmetry: P3m1. As for the density of states at the Fermi level: 6.4 states/eV/cell. The calculation puts the uncorrected formation energy at -1.444 eV/atom.

The structure in Quantum ESPRESSO input format:
```
&SYSTEM
  ibrav = 0, nat = 11, ntyp = 3
/
ATOMIC_SPECIES
Br 79.90 Br.upf
Pr 140.91 Pr.upf
Ge 72.64 Ge.upf
ATOMIC_POSITIONS angstrom
Br 0.164 2.053 6.297
Pr 5.225 -2.164 3.862
Br 3.712 2.325 1.342
Br 3.712 4.427 4.983
Br 0.164 0.000 2.741
Br 0.168 4.427 2.556
Br 0.164 -2.053 6.297
Ge 3.531 0.000 5.111
Pr 5.225 2.164 3.862
Br 3.712 6.529 1.342
Pr 5.225 0.000 7.611
CELL_PARAMETERS angstrom
6.717 0.000 0.000
0.000 8.853 0.000
0.000 -4.427 7.667
```